## Ag2PdCl4 (PBE-GGA)

Data for crystalline Ag2PdCl4 at its relaxed geometry.

## Properties
Energy relative to the elements, uncorrected: -36.5 kJ/mol of atoms
Magnetization: 0.00 μB/cell

Cell: 6.0993 5.8701 6.7475 Å, 57.31 54.09 68.60°
With the nearest neighbours (Å) after each atom.
Sites, in units of the cell vectors:
1 Ag 0.0000 0.0000 0.5000  6 Cl 2.84-3.05
2 Ag 0.5000 0.5000 0.0000  6 Cl 2.84-3.05
3 Pd 0.2619 0.2619 0.7381  4 Cl 2.32
4 Cl 0.0505 0.5487 0.9495  1 Pd 2.32
5 Cl 0.4608 0.9915 0.0085  1 Pd 2.32
6 Cl 0.5487 0.0505 0.4513  1 Pd 2.32
7 Cl 0.9915 0.4608 0.5392  1 Pd 2.32